[1]
CaY2Mn: relaxed, PBEsol.

POSCAR file:
```
CaY2Mn
1.0
5.299 0.000 0.000
2.650 4.589 0.000
2.650 1.530 4.327
Y Ca Mn
2 1 1
Cartesian
2.650 1.530 1.082 Y
7.949 4.589 3.245 Y
5.299 3.060 2.164 Ca
0.000 0.000 0.000 Mn
```

Output
M_tot: 3.0 μB per formula unit
space group: No. 225
calculated density: 4305 kg/m³
E_form: 0.3948 eV/atom

---

[2]
CaYMn: relaxed, PBEsol.

POSCAR file:
```
CaYMn
1.0
-3.129 -3.713 -0.874
1.007 -3.295 -3.531
1.248 -4.616 1.216
Y Ca Mn
1 1 1
Cartesian
0.000 0.000 0.000 Y
-0.437 -5.812 -1.595 Ca
-0.656 -8.718 -2.392 Mn
```

Output
M_tot: 2.7 μB per formula unit
space group: No. 216
energy above the most stable polymorph in this dataset: 1.02 eV/f.u.
calculated density: 3597 kg/m³
E_form: 0.6787 eV/atom

---

[3]
CaYMn: relaxed, PBEsol.

POSCAR file:
```
CaYMn
1.0
3.495 0.000 0.000
0.000 3.495 0.000
-1.748 -1.748 6.482
Y Ca Mn
1 1 1
Cartesian
1.748 1.748 2.608 Y
1.748 1.748 6.156 Ca
0.000 0.000 4.201 Mn
```

Output
M_tot: 3.0 μB per formula unit
space group: No. 107
energy above the most stable polymorph in this dataset: 0.00 eV/f.u.
calculated density: 3856 kg/m³
E_form: 0.3384 eV/atom